Computed, not measured: a relaxed structure of Ta2MnReF at the PBE with a Hubbard U level of DFT.

a b c (Å): 4.9758 4.9758 3.9935
angles (deg): 90.00 90.00 90.00
Closest atoms and distances in Å follow each position.
Fractional positions:
Mn1 0.5000 0.5000 0.5000  8 Ta 3.19, 4 F 3.52
Re1 0.0000 0.0000 0.0000  2 F 2.00
F1 0.0000 0.0000 0.5000  2 Re 2.00
Ta1 0.0000 0.5000 0.0000  2 Re 2.49
Ta2 0.5000 0.0000 0.0000  2 Re 2.49

Properties
ρ (g cm⁻³): 10.4
Density of states at the Fermi level (states/eV/f.u.): 3.9
Symmetry: No. 123
Final energy (eV/f.u.): -41.3